Record 1
## KReRu2 (PBE)

Data for an optimized crystal structure of KReRu2.

Calculated values
spin magnetization: 0.0 μB per cell
formation enthalpy at 0 K: 0.958 eV/atom
total energy: -0.5194 Ry per atom
ΔE to the lowest computed polymorph: 314 meV per atom

Unit cell a=9.186 b=2.790 c=6.776 alpha=90.00 beta=96.93 gamma=90.00
Sites, in units of the cell vectors:
K 0.000 0.000 0.000
K 0.500 0.500 0.000
Re 0.218 0.000 0.617
Re 0.718 0.500 0.617
Ru 0.277 0.500 0.331
Ru 0.490 0.000 0.519
Ru 0.777 0.000 0.331
Ru 0.990 0.500 0.519

***

Record 2
## K2ReTcRu (PBE)

Data for an optimized crystal structure of K2ReTcRu.

Calculated values
spin magnetization: 6.5 μB per cell
formation enthalpy at 0 K: 2.269 eV/atom
total energy: -0.3372 Ry per atom

Unit cell a=6.088 b=6.088 c=4.618 alpha=90.00 beta=90.00 gamma=90.00
Sites, in units of the cell vectors:
K 0.000 0.500 0.000
K 0.500 0.000 0.000
Re 0.000 0.000 0.500
Tc 0.500 0.500 0.500
Ru 0.000 0.000 0.000

***

Record 3
## KY2ReRu (PBE)

Data for an optimized crystal structure of KY2ReRu.

Calculated values
spin magnetization: 2.6 μB per cell
formation enthalpy at 0 K: 1.485 eV/atom
total energy: -0.4164 Ry per atom
ΔE to the lowest computed polymorph: 0 meV per atom

Unit cell a=5.307 b=5.307 c=5.686 alpha=90.00 beta=90.00 gamma=90.00
Sites, in units of the cell vectors:
K 0.000 0.000 0.000
Y 0.000 0.500 0.500
Y 0.500 0.000 0.500
Re 0.000 0.000 0.500
Ru 0.500 0.500 0.000

***

Record 4
## KY2ReRu (PBE)

Data for an optimized crystal structure of KY2ReRu.

Calculated values
spin magnetization: 0.4 μB per cell
formation enthalpy at 0 K: 2.271 eV/atom
total energy: -0.3586 Ry per atom
ΔE to the lowest computed polymorph: 786 meV per atom

Unit cell a=5.120 b=5.120 c=4.412 alpha=90.00 beta=90.00 gamma=90.00
Sites, in units of the cell vectors:
K 0.000 0.000 0.000
Y 0.000 0.500 0.000
Y 0.500 0.000 0.000
Re 0.000 0.000 0.500
Ru 0.500 0.500 0.500

***

Record 5
## KReS2 (PBE)

Data for an optimized crystal structure of KReS2.

Calculated values
spin magnetization: 0.0 μB per cell
total energy: -0.3712 Ry per atom
ΔE to the lowest computed polymorph: 959 meV per atom

Unit cell a=6.406 b=6.406 c=6.406 alpha=90.00 beta=90.00 gamma=90.00
Sites, in units of the cell vectors:
K 0.000 0.000 0.000
K 0.000 0.500 0.500
K 0.500 0.000 0.500
K 0.500 0.500 0.000
Re 0.000 0.000 0.500
Re 0.000 0.500 0.000
Re 0.500 0.000 0.000
Re 0.500 0.500 0.500
S 0.250 0.250 0.250
S 0.250 0.250 0.750
S 0.250 0.750 0.250
S 0.250 0.750 0.750
S 0.750 0.250 0.250
S 0.750 0.250 0.750
S 0.750 0.750 0.250
S 0.750 0.750 0.750

***

Record 6
## KReS2 (PBE)

Data for an optimized crystal structure of KReS2.

Calculated values
spin magnetization: 4.9 μB per cell
total energy: -0.4125 Ry per atom
ΔE to the lowest computed polymorph: 397 meV per atom

Unit cell a=3.617 b=3.617 c=25.768 alpha=90.00 beta=90.00 gamma=120.00
Sites, in units of the cell vectors:
K 0.000 0.000 0.000
K 0.333 0.667 0.667
K 0.667 0.333 0.333
Re 0.000 0.000 0.500
Re 0.333 0.667 0.167
Re 0.667 0.333 0.833
S 0.000 0.000 0.117
S 0.000 0.000 0.883
S 0.333 0.667 0.550
S 0.333 0.667 0.784
S 0.667 0.333 0.216
S 0.667 0.333 0.450

***

Record 7
## K2ReS4 (PBE)

Data for an optimized crystal structure of K2ReS4.

Calculated values
spin magnetization: 2.0 μB per cell
total energy: -0.3834 Ry per atom

Unit cell a=6.976 b=6.866 c=9.292 alpha=90.00 beta=108.15 gamma=90.00
Sites, in units of the cell vectors:
K 0.194 0.250 0.421
K 0.281 0.250 0.965
K 0.719 0.750 0.035
K 0.806 0.750 0.579
Re 0.308 0.750 0.218
Re 0.692 0.250 0.782
S 0.090 0.750 0.346
S 0.160 0.750 0.972
S 0.495 0.505 0.721
S 0.495 0.995 0.721
S 0.505 0.005 0.279
S 0.505 0.495 0.279
S 0.840 0.250 0.028
S 0.910 0.250 0.654

***

Record 8
## KRe3S (PBE)

Data for an optimized crystal structure of KRe3S.

Calculated values
spin magnetization: 1.2 μB per cell
total energy: -0.5166 Ry per atom
ΔE to the lowest computed polymorph: 0 meV per atom

Unit cell a=4.511 b=4.511 c=4.511 alpha=90.00 beta=90.00 gamma=90.00
Sites, in units of the cell vectors:
K 0.000 0.000 0.000
Re 0.000 0.500 0.500
Re 0.500 0.000 0.500
Re 0.500 0.500 0.000
S 0.500 0.500 0.500

***

Number 1: ρ 8.2 g/cm3. Number 2: ρ 4.5 g/cm3. Number 3: ρ 5.2 g/cm3. Number 4: ρ 7.2 g/cm3. Number 5: ρ 7.3 g/cm3. Number 6: ρ 4.9 g/cm3. Number 7: ρ 3.1 g/cm3. Number 8: ρ 11.4 g/cm3.